Record 1
# MoAsN3 | the Alexandria database | PBE | relaxed
# Formation energy from raw total energies ... 998 meV per atom
data_MoAsN3
_chemical_formula_sum 'Mo1 As1 N3'
_cell_length_a 3.9523
_cell_length_b 3.9523
_cell_length_c 3.9523
_cell_angle_alpha 90.00
_cell_angle_beta 90.00
_cell_angle_gamma 90.00
_space_group_name_H-M_alt 'P m -3 m'
_space_group_IT_number 221
_space_group_name_Hall '-P 4 2 3'
loop_
_atom_site_label
_atom_site_type_symbol
_atom_site_fract_x
_atom_site_fract_y
_atom_site_fract_z
_atom_site_occupancy
Mo1 Mo 0.0000 0.0000 0.0000 1
As1 As 0.5000 0.5000 0.5000 1
N1 N 0.0000 0.0000 0.5000 1


Record 2
# Zr3PdRh | the Alexandria database | PBE | relaxed
# Excess energy over the best structure of this formula in the dataset ... 0.000 eV/atom
# ΔE_f ... 0.274 eV per atom
data_Zr3PdRh
_chemical_formula_sum 'Zr3 Pd1 Rh1'
_cell_length_a 4.9758
_cell_length_b 4.9758
_cell_length_c 4.9758
_cell_angle_alpha 90.00
_cell_angle_beta 90.00
_cell_angle_gamma 90.00
_space_group_name_H-M_alt 'P m -3 m'
_space_group_IT_number 221
_space_group_name_Hall '-P 4 2 3'
loop_
_atom_site_label
_atom_site_type_symbol
_atom_site_fract_x
_atom_site_fract_y
_atom_site_fract_z
_atom_site_occupancy
Zr1 Zr 0.0000 0.0000 0.5000 1
Pd1 Pd 0.5000 0.5000 0.5000 1
Rh1 Rh 0.0000 0.0000 0.0000 1


Record 3
# PuNp3Ti2P6 | the Alexandria database | PBE | relaxed
# ΔE_f ... -0.969 eV per atom
data_PuNp3Ti2P6
_chemical_formula_sum 'Pu2 Np6 Ti4 P12'
_cell_length_a 6.5825
_cell_length_b 11.4438
_cell_length_c 6.5982
_cell_angle_alpha 90.00
_cell_angle_beta 109.72
_cell_angle_gamma 90.00
_space_group_name_H-M_alt 'C 1 2/m 1'
_space_group_IT_number 12
loop_
_space_group_symop_operation_xyz
'x,y,z'
'-x,-y,-z'
'-x,y,-z'
'x,-y,z'
'x+1/2,y+1/2,z'
'-x+1/2,-y+1/2,-z'
'-x+1/2,y+1/2,-z'
'x+1/2,-y+1/2,z'
loop_
_atom_site_label
_atom_site_type_symbol
_atom_site_fract_x
_atom_site_fract_y
_atom_site_fract_z
_atom_site_occupancy
Pu1 Pu 0.0000 0.0000 0.0000 1
Np1 Np 0.0000 0.1591 0.5000 1
Np2 Np 0.0000 0.5000 0.5000 1
Ti1 Ti 0.0000 0.3305 0.0000 1
P1 P 0.2228 0.5000 0.2250 1
P2 P 0.2456 0.3248 0.7631 1


Record 4
# SiP | the Alexandria database | PBE | relaxed
# Formation energy from raw total energies ... -152 meV per atom
data_SiP
_chemical_formula_sum 'Si24 P24'
_cell_length_a 3.5363
_cell_length_b 20.5435
_cell_length_c 15.4631
_cell_angle_alpha 90.00
_cell_angle_beta 90.00
_cell_angle_gamma 90.00
_space_group_name_H-M_alt 'C m c 21'
_space_group_IT_number 36
loop_
_space_group_symop_operation_xyz
'x,y,z'
'-x,-y,z+1/2'
'-x,y,z'
'x,-y,z+1/2'
'x+1/2,y+1/2,z'
'-x+1/2,-y+1/2,z+1/2'
'-x+1/2,y+1/2,z'
'x+1/2,-y+1/2,z+1/2'
loop_
_atom_site_label
_atom_site_type_symbol
_atom_site_fract_x
_atom_site_fract_y
_atom_site_fract_z
_atom_site_occupancy
Si1 Si 0.0000 0.0597 0.0000 1
Si2 Si 0.0000 0.1710 0.0379 1
Si3 Si 0.0000 0.2019 0.6023 1
Si4 Si 0.0000 0.2047 0.4502 1
Si5 Si 0.0000 0.4326 0.9357 1
Si6 Si 0.0000 0.4355 0.0878 1
P1 P 0.0000 0.9996 0.1259 1
P2 P 0.0000 0.1139 0.3661 1
P3 P 0.0000 0.2312 0.9121 1
P4 P 0.0000 0.3107 0.6289 1
P5 P 0.0000 0.3446 0.1719 1
P6 P 0.0000 0.4586 0.4091 1


Record 5
# Dy3Cd2Au3 | the Alexandria database | PBE | relaxed
# Excess energy over the best structure of this formula in the dataset ... 0.000 eV/atom
# ΔE_f ... -0.668 eV per atom
data_Dy3Cd2Au3
_chemical_formula_sum 'Dy6 Cd4 Au6'
_cell_length_a 8.6939
_cell_length_b 8.6939
_cell_length_c 5.8258
_cell_angle_alpha 90.00
_cell_angle_beta 90.00
_cell_angle_gamma 120.00
_space_group_name_H-M_alt 'P 63/m c m'
_space_group_IT_number 193
_space_group_name_Hall '-P 6c 2'
loop_
_atom_site_label
_atom_site_type_symbol
_atom_site_fract_x
_atom_site_fract_y
_atom_site_fract_z
_atom_site_occupancy
Dy1 Dy 0.0000 0.2795 0.2500 1
Cd1 Cd 0.3333 0.6667 0.0000 1
Au1 Au 0.0000 0.3755 0.7500 1


Record 6
# Rb2MgNpBr6 | the Alexandria database | PBE | relaxed
# Formation energy from raw total energies ... -1383 meV per atom
data_Rb2MgNpBr6
_chemical_formula_sum 'Rb4 Mg2 Np2 Br12'
_cell_length_a 8.0398
_cell_length_b 11.3568
_cell_length_c 8.0329
_cell_angle_alpha 90.00
_cell_angle_beta 90.00
_cell_angle_gamma 90.00
_space_group_name_H-M_alt 'P m m n'
_space_group_IT_number 59
loop_
_space_group_symop_operation_xyz
'x,y,z'
'-x,-y,-z'
'-x+1/2,-y+1/2,z'
'x+1/2,y+1/2,-z'
'x+1/2,-y,-z'
'-x+1/2,y,z'
'-x,y+1/2,-z'
'x,-y+1/2,z'
loop_
_atom_site_label
_atom_site_type_symbol
_atom_site_fract_x
_atom_site_fract_y
_atom_site_fract_z
_atom_site_occupancy
Rb1 Rb 0.2500 0.0011 0.2479 1
Mg1 Mg 0.2500 0.7500 0.7503 1
Np1 Np 0.2500 0.2500 0.7492 1
Br1 Br 0.0108 0.7500 0.5105 1
Br2 Br 0.0112 0.7500 0.9911 1
Br3 Br 0.2500 0.5099 0.7512 1


Record 7
# NiRuBr2 | the Alexandria database | PBE | relaxed
# Formation energy from raw total energies ... 593 meV per atom
# Excess energy over the best structure of this formula in the dataset ... 0.421 eV/atom
data_NiRuBr2
_chemical_formula_sum 'Ni4 Ru4 Br8'
_cell_length_a 5.6172
_cell_length_b 5.6172
_cell_length_c 11.1402
_cell_angle_alpha 90.00
_cell_angle_beta 90.00
_cell_angle_gamma 90.00
_space_group_name_H-M_alt 'I -4 2 d'
_space_group_IT_number 122
_space_group_name_Hall 'I -4 2bw'
loop_
_atom_site_label
_atom_site_type_symbol
_atom_site_fract_x
_atom_site_fract_y
_atom_site_fract_z
_atom_site_occupancy
Ni1 Ni 0.0000 0.0000 0.0000 1
Ru1 Ru 0.0000 0.0000 0.5000 1
Br1 Br 0.2314 0.2500 0.1250 1


Record 8
# Tb3Ho2Er6Zr | the Alexandria database | PBE | relaxed
# ΔE_f ... 0.041 eV per atom
data_Tb3Ho2Er6Zr
_chemical_formula_sum 'Tb6 Ho4 Er12 Zr2'
_cell_length_a 6.0546
_cell_length_b 10.4699
_cell_length_c 11.5550
_cell_angle_alpha 90.00
_cell_angle_beta 99.99
_cell_angle_gamma 90.00
_space_group_name_H-M_alt 'C 1 2/m 1'
_space_group_IT_number 12
loop_
_space_group_symop_operation_xyz
'x,y,z'
'-x,-y,-z'
'-x,y,-z'
'x,-y,z'
'x+1/2,y+1/2,z'
'-x+1/2,-y+1/2,-z'
'-x+1/2,y+1/2,-z'
'x+1/2,-y+1/2,z'
loop_
_atom_site_label
_atom_site_type_symbol
_atom_site_fract_x
_atom_site_fract_y
_atom_site_fract_z
_atom_site_occupancy
Tb1 Tb 0.0000 0.0000 0.0000 1
Tb2 Tb 0.0000 0.3335 0.0000 1
Ho1 Ho 0.0000 0.1668 0.5000 1
Er1 Er 0.2446 0.3366 0.7442 1
Er2 Er 0.2454 0.5000 0.2563 1
Zr1 Zr 0.0000 0.5000 0.5000 1